Computed, not measured: NaAc6Hg5 after structural relaxation at the PBE-GGA level of DFT.

**E_form**: -368 meV/atom
**Density**: 9.8 Mg/m³
**Final energy**: -31.9 eV per formula unit

Unit cell a=5.742 b=9.975 c=9.975 alpha=120.11 beta=106.74 gamma=106.74
Element x y z (fractional)
Hg 0.000 0.333 0.667
Hg 0.500 0.154 0.846
Hg 0.500 0.846 0.154
Hg 0.000 0.667 0.333
Hg 0.500 0.500 0.500
Ac 0.745 0.916 0.573
Ac 0.745 0.573 0.916
Ac 0.255 0.427 0.084
Ac 0.764 0.264 0.264
Ac 0.255 0.084 0.427
Ac 0.236 0.736 0.736
Na 0.000 0.000 0.000



Computed, not measured: NaAcHg2 after structural relaxation at the PBE-GGA level of DFT.

**E_form**: -383 meV/atom
**Offset from the most stable computed form**: 0.0000 eV per atom
**Density**: 9.2 Mg/m³
**Final energy**: -7.6 eV per formula unit

Unit cell a=5.494 b=5.494 c=5.494 alpha=60.00 beta=60.00 gamma=60.00
Element x y z (fractional)
Hg 0.250 0.250 0.250
Hg 0.750 0.750 0.750
Ac 0.500 0.500 0.500
Na 0.000 0.000 0.000



Computed, not measured: NaAc2Hg6 after structural relaxation at the PBE-GGA level of DFT.

**E_form**: -367 meV/atom
**Density**: 10.9 Mg/m³
**Final energy**: -14.7 eV per formula unit

Unit cell a=3.694 b=8.948 c=8.948 alpha=120.00 beta=90.00 gamma=90.00
Element x y z (fractional)
Ac 0.000 0.667 0.333
Ac 0.000 0.333 0.667
Hg 0.500 0.000 0.327
Hg 0.500 0.327 0.000
Hg 0.500 0.673 0.673
Hg 0.500 0.000 0.673
Hg 0.500 0.673 0.000
Hg 0.500 0.327 0.327
Na 0.000 0.000 0.000



Computed, not measured: Na2AcHg8 after structural relaxation at the PBE-GGA level of DFT.

**E_form**: -222 meV/atom
**Offset from the most stable computed form**: 0.0065 eV per atom
**Density**: 10.5 Mg/m³
**Final energy**: -11.6 eV per formula unit

Unit cell a=5.717 b=6.222 c=8.973 alpha=110.29 beta=94.42 gamma=90.00
Element x y z (fractional)
Hg 0.870 0.798 0.596
Hg 0.519 0.345 0.184
Hg 0.519 0.839 0.184
Hg 0.481 0.655 0.816
Hg 0.999 0.595 0.191
Hg 0.130 0.202 0.404
Hg 0.001 0.405 0.809
Hg 0.481 0.161 0.816
Na 0.346 0.744 0.488
Na 0.654 0.256 0.512
Ac 0.000 0.000 0.000



Computed, not measured: NaAcHg4 after structural relaxation at the PBE-GGA level of DFT.

**E_form**: -230 meV/atom
**Offset from the most stable computed form**: 0.0952 eV per atom
**Density**: 10.6 Mg/m³
**Final energy**: -8.0 eV per formula unit

Unit cell a=6.161 b=6.161 c=6.161 alpha=60.00 beta=60.00 gamma=60.00
Element x y z (fractional)
Hg 0.124 0.625 0.625
Hg 0.625 0.124 0.625
Hg 0.625 0.625 0.625
Hg 0.625 0.625 0.124
Ac 0.250 0.250 0.250
Na 0.000 0.000 0.000



Computed, not measured: Na2AcHg5 after structural relaxation at the PBE-GGA level of DFT.

**E_form**: -308 meV/atom
**Density**: 9.7 Mg/m³
**Final energy**: -10.7 eV per formula unit

Unit cell a=4.935 b=4.935 c=9.645 alpha=104.82 beta=104.82 gamma=90.00
Element x y z (fractional)
Na 0.251 0.251 0.502
Na 0.749 0.749 0.498
Ac 0.000 0.000 0.000
Hg 0.633 0.133 0.265
Hg 0.133 0.633 0.265
Hg 0.367 0.867 0.735
Hg 0.500 0.500 0.000
Hg 0.867 0.367 0.735



Computed, not measured: NaAc2Hg5 after structural relaxation at the PBE-GGA level of DFT.

**E_form**: -317 meV/atom
**Density**: 10.5 Mg/m³
**Final energy**: -13.6 eV per formula unit

Unit cell a=5.626 b=5.626 c=8.409 alpha=109.54 beta=109.54 gamma=90.00
Element x y z (fractional)
Hg 0.385 0.885 0.771
Hg 0.885 0.385 0.771
Hg 0.615 0.115 0.229
Hg 0.115 0.615 0.229
Hg 0.500 0.500 0.000
Ac 0.264 0.264 0.528
Ac 0.736 0.736 0.472
Na 0.000 0.000 0.000



Computed, not measured: NaAc3Hg2 after structural relaxation at the PBE-GGA level of DFT.

**E_form**: -253 meV/atom
**Density**: 8.9 Mg/m³
**Final energy**: -15.8 eV per formula unit

Unit cell a=4.118 b=5.781 c=9.158 alpha=108.40 beta=90.00 gamma=90.00
Element x y z (fractional)
Hg 0.000 0.657 0.314
Hg 0.000 0.343 0.686
Ac 0.500 0.500 0.000
Ac 0.500 0.175 0.351
Ac 0.500 0.825 0.649
Na 0.000 0.000 0.000



Computed, not measured: NaAc2Hg3 after structural relaxation at the PBE-GGA level of DFT.

**E_form**: -421 meV/atom
**Offset from the most stable computed form**: 0.0000 eV per atom
**Density**: 9.7 Mg/m³
**Final energy**: -13.0 eV per formula unit

Unit cell a=5.581 b=5.581 c=13.753 alpha=90.00 beta=90.00 gamma=120.00
Element x y z (fractional)
Ac 0.000 0.000 0.000
Ac 0.333 0.667 0.181
Ac 0.667 0.333 0.819
Ac 0.000 0.000 0.500
Na 0.667 0.333 0.337
Na 0.333 0.667 0.663
Hg 0.667 0.333 0.576
Hg 0.000 0.000 0.255
Hg 0.333 0.667 0.424
Hg 0.000 0.000 0.745
Hg 0.333 0.667 0.913
Hg 0.667 0.333 0.087



Computed, not measured: NaAc2Hg16 after structural relaxation at the PBE-GGA level of DFT.

**E_form**: -176 meV/atom
**Density**: 11.7 Mg/m³
**Final energy**: -17.7 eV per formula unit

Unit cell a=8.512 b=8.512 c=8.512 alpha=69.84 beta=69.84 gamma=69.84
Element x y z (fractional)
Hg 0.596 0.160 0.596
Hg 0.596 0.596 0.160
Hg 0.700 0.297 0.000
Hg 0.297 0.000 0.700
Hg 0.803 0.419 0.419
Hg 0.101 0.101 0.101
Hg 0.419 0.803 0.419
Hg 0.000 0.700 0.297
Hg 0.297 0.700 0.000
Hg 0.419 0.419 0.803
Hg 0.999 0.999 0.508
Hg 0.508 0.999 0.999
Hg 0.000 0.297 0.700
Hg 0.999 0.508 0.999
Hg 0.700 0.000 0.297
Hg 0.160 0.596 0.596
Ac 0.699 0.699 0.699
Ac 0.288 0.288 0.288
Na 0.917 0.917 0.917



Computed, not measured: NaAc4Hg3 after structural relaxation at the PBE-GGA level of DFT.

**E_form**: -305 meV/atom
**Density**: 9.3 Mg/m³
**Final energy**: -21.1 eV per formula unit

Unit cell a=5.752 b=8.232 c=11.505 alpha=90.00 beta=90.00 gamma=90.00
Element x y z (fractional)
Ac 0.500 0.762 0.500
Ac 0.000 0.762 0.250
Ac 0.000 0.762 0.750
Ac 0.000 0.238 0.750
Ac 0.500 0.238 0.000
Ac 0.500 0.238 0.500
Ac 0.500 0.762 0.000
Ac 0.000 0.238 0.250
Hg 0.501 0.500 0.250
Hg 0.000 0.000 0.000
Hg 0.500 0.000 0.250
Hg 0.499 0.500 0.750
Hg 0.500 0.000 0.750
Hg 0.000 0.000 0.500
Na 0.000 0.500 0.000
Na 0.000 0.500 0.500



Computed, not measured: Na2AcHg3 after structural relaxation at the PBE-GGA level of DFT.

**E_form**: -325 meV/atom
**Offset from the most stable computed form**: 0.0000 eV per atom
**Density**: 8.5 Mg/m³
**Final energy**: -9.6 eV per formula unit

Unit cell a=5.432 b=5.432 c=13.375 alpha=90.00 beta=90.00 gamma=120.00
Element x y z (fractional)
Na 0.667 0.333 0.841
Na 0.000 0.000 0.000
Na 0.333 0.667 0.159
Na 0.000 0.000 0.500
Hg 0.000 0.000 0.760
Hg 0.667 0.333 0.078
Hg 0.333 0.667 0.922
Hg 0.000 0.000 0.240
Hg 0.333 0.667 0.420
Hg 0.667 0.333 0.580
Ac 0.333 0.667 0.670
Ac 0.667 0.333 0.330



Computed, not measured: NaAc2Hg10 after structural relaxation at the PBE-GGA level of DFT.

**E_form**: -91 meV/atom
**Density**: 9.5 Mg/m³
**Final energy**: -13.7 eV per formula unit

Unit cell a=5.805 b=13.443 c=11.095 alpha=90.00 beta=90.00 gamma=90.00
Element x y z (fractional)
Hg 0.252 0.808 0.901
Hg 0.000 0.890 0.469
Hg 0.000 0.465 0.768
Hg 0.252 0.308 0.599
Hg 0.748 0.808 0.901
Hg 0.000 0.682 0.680
Hg 0.000 0.610 0.969
Hg 0.000 0.390 0.031
Hg 0.000 0.110 0.531
Hg 0.000 0.818 0.180
Hg 0.000 0.318 0.320
Hg 0.748 0.192 0.099
Hg 0.748 0.308 0.599
Hg 0.000 0.035 0.268
Hg 0.000 0.535 0.232
Hg 0.000 0.182 0.820
Hg 0.748 0.692 0.401
Hg 0.252 0.192 0.099
Hg 0.252 0.692 0.401
Hg 0.000 0.965 0.732
Ac 0.500 0.833 0.624
Ac 0.500 0.667 0.124
Ac 0.500 0.167 0.376
Ac 0.500 0.333 0.876
Na 0.000 0.000 0.000
Na 0.000 0.500 0.500



Computed, not measured: Na2Ac3Hg4 after structural relaxation at the PBE-GGA level of DFT.

**E_form**: -293 meV/atom
**Density**: 8.8 Mg/m³
**Final energy**: -18.8 eV per formula unit

Unit cell a=5.047 b=6.111 c=10.252 alpha=90.05 beta=90.00 gamma=114.39
Element x y z (fractional)
Ac 0.000 0.000 0.000
Ac 0.633 0.266 0.391
Ac 0.367 0.734 0.609
Hg 0.930 0.860 0.359
Hg 0.306 0.612 0.921
Hg 0.694 0.388 0.079
Hg 0.070 0.140 0.641
Na 0.674 0.348 0.781
Na 0.326 0.652 0.219



Computed, not measured: NaAcNdHg after structural relaxation at the PBE-GGA level of DFT.

**E_form**: -74 meV/atom
**Density**: 7.6 Mg/m³
**Final energy**: -10.8 eV per formula unit

Unit cell a=5.676 b=5.676 c=5.676 alpha=60.00 beta=60.00 gamma=60.00
Element x y z (fractional)
Na 0.000 0.000 0.000
Hg 0.500 0.500 0.500
Ac 0.750 0.750 0.750
Nd 0.250 0.250 0.250



Computed, not measured: NaAc2HgO4 after structural relaxation at the PBE-GGA level of DFT.

**Formation energy without anion corrections**: -207.8 kJ/mol of atoms
**Density**: 8.7 Mg/m³
**Final energy**: -46.9 eV per formula unit

Unit cell a=5.302 b=5.302 c=6.265 alpha=115.03 beta=115.03 gamma=90.00
Element x y z (fractional)
O 0.438 0.939 0.000
O 0.939 0.438 0.000
O 0.165 0.165 0.458
O 0.707 0.707 0.542
Na 0.937 0.937 0.000
Ac 0.187 0.687 0.500
Ac 0.687 0.187 0.500
Hg 0.438 0.438 0.000



Computed, not measured: NaAcHg2O4 after structural relaxation at the PBE-GGA level of DFT.

**Formation energy without anion corrections**: -135.9 kJ/mol of atoms
**Density**: 8.1 Mg/m³
**Final energy**: -37.1 eV per formula unit

Unit cell a=6.290 b=5.770 c=5.770 alpha=72.67 beta=56.97 gamma=56.97
Element x y z (fractional)
Na 0.500 0.500 0.500
Hg 0.246 0.254 0.254
Hg 0.754 0.746 0.746
O 0.476 0.594 0.898
O 0.524 0.102 0.406
O 0.032 0.898 0.594
O 0.968 0.406 0.102
Ac 0.000 0.000 0.000



Computed, not measured: NaAcHgO3 after structural relaxation at the PBE-GGA level of DFT.

**Formation energy without anion corrections**: -170.8 kJ/mol of atoms
**Density**: 8.3 Mg/m³
**Final energy**: -31.2 eV per formula unit

Unit cell a=3.613 b=6.518 c=9.007 alpha=109.73 beta=90.00 gamma=90.00
Element x y z (fractional)
O 0.250 0.539 0.805
O 0.750 0.461 0.195
O 0.250 0.852 0.575
O 0.750 0.893 0.084
O 0.750 0.148 0.425
O 0.250 0.107 0.916
Ac 0.250 0.177 0.206
Ac 0.750 0.823 0.794
Hg 0.250 0.216 0.624
Hg 0.750 0.784 0.376
Na 0.750 0.353 0.914
Na 0.250 0.647 0.086



Computed, not measured: Na3Ac3HgO8 after structural relaxation at the PBE-GGA level of DFT.

**Formation energy without anion corrections**: -190.3 kJ/mol of atoms
**Density**: 6.7 Mg/m³
**Final energy**: -85.8 eV per formula unit

Unit cell a=7.486 b=7.476 c=7.049 alpha=122.15 beta=90.00 gamma=120.05
Element x y z (fractional)
O 0.772 0.007 0.280
O 0.226 0.453 0.718
O 0.235 0.007 0.280
O 0.739 0.478 0.716
O 0.261 0.522 0.284
O 0.228 0.993 0.720
O 0.774 0.547 0.282
O 0.765 0.993 0.720
Na 0.500 0.500 0.000
Na 0.000 0.500 0.000
Na 0.000 0.000 0.000
Ac 0.500 0.500 0.500
Ac 0.500 0.000 0.500
Ac 0.000 0.500 0.500
Hg 0.000 0.000 0.500



Computed, not measured: NaAc2HgO5 after structural relaxation at the PBE-GGA level of DFT.

**Formation energy without anion corrections**: -190.8 kJ/mol of atoms
**Density**: 7.6 Mg/m³
**Final energy**: -52.4 eV per formula unit

Unit cell a=7.238 b=7.238 c=8.152 alpha=116.35 beta=116.35 gamma=90.00
Element x y z (fractional)
O 0.523 0.742 0.765
O 0.023 0.523 0.765
O 0.500 0.500 0.000
O 0.977 0.477 0.235
O 0.758 0.977 0.235
O 0.258 0.758 0.235
O 0.242 0.023 0.765
O 0.477 0.258 0.235
O 0.000 0.000 0.000
O 0.742 0.242 0.765
Ac 0.326 0.826 0.000
Ac 0.174 0.326 0.000
Ac 0.826 0.674 0.000
Ac 0.674 0.174 0.000
Hg 0.250 0.750 0.500
Hg 0.750 0.250 0.500
Na 0.750 0.750 0.500
Na 0.250 0.250 0.500